4
Lattice="3.1845 0.0000 0.0000 1.5923 2.7579 0.0000 1.5923 0.9193 7.7980" Properties=species:S:1:pos:R:3 comment="LiWS2 meta-GGA SCAN single point on PBEsol structure" total_magnetization_mub_per_fu=0.00 crystal_system=trigonal n_ef_per_ev_atom=0.44 formation_energy_uncorrected_kcal_per_mol_atoms=-12.0 total_energy_ev_per_cell=-93.4 pbc="T T T"
S 4.7768 2.7579 2.3090
S 1.5923 0.9193 5.4890
W 3.1845 1.8386 3.8990
Li 0.0000 0.0000 0.0000

4
Lattice="-0.1445 0.9480 2.6279 -2.0866 -0.8236 1.6713 4.8228 -7.7421 4.5470" Properties=species:S:1:pos:R:3 comment="NbGeF2 meta-GGA SCAN single point on PBEsol structure" total_magnetization_mub_per_fu=0.00 crystal_system=trigonal n_ef_per_ev_atom=0.40 formation_energy_uncorrected_kcal_per_mol_atoms=-35.7 total_energy_ev_per_cell=-65.5 pbc="T T T"
Nb 1.2959 -3.8088 4.4231
Ge 0.0000 0.0000 0.0000
F -0.2810 -2.6023 5.3900
F 2.8728 -5.0154 3.4561

4
Lattice="-3.8849 -0.2926 -0.4137 2.3630 -0.9255 -2.9847 0.1717 -4.4029 1.5012" Properties=species:S:1:pos:R:3 comment="CoRu meta-GGA SCAN single point on PBEsol structure" formation_enthalpy_0k_ev_per_fu=2.7 total_magnetization_mub_per_fu=0.00 crystal_system=hexagonal n_ef_per_ev_atom=1.37 total_energy_ev_per_cell=-98.8 pbc="T T T"
Ru -1.7053 -2.9891 -0.4232
Ru 0.2915 -0.9987 -2.0308
Co -1.7912 -0.7874 -1.1739
Co 0.3773 -3.1998 -1.2803

3
Lattice="4.2853 0.0000 0.0000 2.1426 3.7112 0.0000 2.1426 1.2371 3.4989" Properties=species:S:1:pos:R:3 comment="ReHgAs meta-GGA SCAN single point on PBEsol structure" formation_enthalpy_0k_ev_per_fu=3.2 total_magnetization_mub_per_fu=0.00 crystal_system=cubic n_ef_per_ev_atom=0.44 total_energy_ev_per_cell=-156.2 pbc="T T T"
Re 4.2853 2.4741 1.7495
As 2.1426 1.2371 0.8747
Hg 0.0000 0.0000 0.0000

8
Lattice="6.4625 -0.0463 0.0000 -3.1301 5.6541 0.0000 -1.6662 -2.8039 5.5793" Properties=species:S:1:pos:R:3 comment="LiY2S meta-GGA SCAN single point on PBEsol structure" total_magnetization_mub_per_fu=1.02 crystal_system=tetragonal n_ef_per_ev_atom=0.94 formation_energy_uncorrected_kcal_per_mol_atoms=-14.5 total_energy_ev_per_cell=-140.4 pbc="T T T"
Y 0.9706 2.2688 3.1143
Y -0.1374 -0.8668 2.4650
Y 4.7600 1.9139 0.3247
Y -2.2607 2.2919 5.2546
S 0.0000 0.0000 0.0000
S -1.5650 2.8271 2.7896
Li 1.6662 2.8039 0.0000
Li 3.2313 -0.0232 2.7896

3
Lattice="-2.7688 -0.0935 2.5858 2.2545 -3.8622 2.2744 2.5792 3.2001 2.8775" Properties=species:S:1:pos:R:3 comment="PbBr2 meta-GGA SCAN single point on PBEsol structure" total_magnetization_mub_per_fu=0.00 crystal_system=tetragonal n_ef_per_ev_atom=0.00 formation_energy_uncorrected_kcal_per_mol_atoms=-18.0 total_energy_ev_per_cell=-117.0 pbc="T T T"
Pb 0.0000 0.0000 0.0000
Br -0.0948 1.5533 2.7316
Br -0.2572 -1.9779 2.4301